1.
Entry from Alexandria: crystalline KY2Pt at its relaxed geometry (PBE-GGA).

Cell: 3.7045 6.1796 11.3829 Å, 90.00 90.00 90.00°
Closest atoms and distances in Å follow each position.
Space group Immm (No. 71)
One atom of each set of equivalent atoms:
1 K 0.0000 0.0000 0.0000 [2 per cell]  4 Pt 3.60, 2 K 3.70, 4 Y 3.71
2 Y 0.0000 0.5000 0.1810 [4 per cell]  2 Pt 2.77
3 Pt 0.0000 0.0000 0.5000 [2 per cell]  4 Y 2.77

Properties
calculated volume = 261 Å³/cell
density of states at the Fermi level = 1.10 states/eV per atom
formation energy = -0.22 eV per atom

***

2.
Entry from Alexandria: crystalline KY2Pt at its relaxed geometry (PBE-GGA).

Cell: 3.7871 3.7871 32.4823 Å, 90.00 90.00 120.00°
Closest atoms and distances in Å follow each position.
Space group R3m (No. 160, hexagonal axes)
One atom of each set of equivalent atoms:
1 K 0.0000 0.0000 0.0000 [3 per cell]  3 Pt 3.29
2 Y 0.0000 0.0000 0.5405 [3 per cell]  3 Pt 2.74
3 Y 0.0000 0.0000 0.7807 [3 per cell]  9 Y 3.73-3.79
4 Pt 0.0000 0.0000 0.2578 [3 per cell]  3 Y 2.74

Properties
calculated volume = 403 Å³/cell
density of states at the Fermi level = 0.91 states/eV per atom
formation energy = -0.15 eV per atom

***

3.
Entry from Alexandria: crystalline KYPt2 at its relaxed geometry (PBE-GGA).

Cell: 6.9496 6.9496 6.9496 Å, 90.00 90.00 90.00°
Closest atoms and distances in Å follow each position.
Space group F-43m (No. 216)
One atom of each set of equivalent atoms:
1 K 0.0000 0.0000 0.0000 [4 per cell]  4 Y 3.01, 4 Pt 3.01
2 Y 0.2500 0.2500 0.7500 [4 per cell]  4 K 3.01, 4 Pt 3.01
3 Pt 0.0000 0.0000 0.5000 [4 per cell]  4 Pt 3.01, 4 Y 3.01
4 Pt 0.2500 0.2500 0.2500 [4 per cell]  4 K 3.01, 4 Pt 3.01

Properties
calculated volume = 336 Å³/cell
density of states at the Fermi level = 0.40 states/eV per atom
formation energy = -0.20 eV per atom